Density functional theory data (PBE-GGA) for a relaxed structure of IrBrOF2.

Cell and atoms, written as POSCAR:
```
IrBrOF2
1.0
-2.725 -2.393 -3.263
2.787 -0.044 -2.295
1.482 -4.251 1.880
Ir O Br F
1 1 1 2
Direct
0.500 0.500 0.500 Ir
0.000 0.500 0.000 O
0.000 0.000 0.000 Br
0.000 0.000 0.500 F
0.500 0.000 0.000 F
```

Values from the calculation:
- excess energy over the best structure of this formula in the dataset (meV per atom) = 1291
- V (Å³/atom) = 17.19
- symmetry = No. 123
- formation energy without anion corrections (eV/atom) = 0.93
- total magnetization (μB per cell) = 3.0